1.
Density functional theory data (GGA-PBE) for KPa4S8 after structural relaxation.

Cell and atoms, written as POSCAR:
```
KPa4S8
1.0
0.000 5.865 5.865
5.865 0.000 5.865
5.865 5.865 0.000
K Pa S
1 4 8
Direct
0.000 0.000 0.000 K
0.130 0.623 0.623 Pa
0.623 0.130 0.623 Pa
0.623 0.623 0.130 Pa
0.623 0.623 0.623 Pa
0.391 0.391 0.391 S
0.391 0.391 0.827 S
0.391 0.827 0.391 S
0.433 0.856 0.856 S
0.827 0.391 0.391 S
0.856 0.433 0.856 S
0.856 0.856 0.433 S
0.856 0.856 0.856 S
```

SG: No. 216
Uncorrected formation energy (eV/f.u.): -19.77
V (Å³ per cell): 403
Distance to the lowest polymorph of the same formula (eV/atom): 0.0358

2.
Density functional theory data (GGA-PBE) for NaTiOF2 after structural relaxation.

Cell and atoms, written as POSCAR:
```
NaTiOF2
1.0
4.120 0.000 0.000
0.000 4.120 0.000
0.000 0.000 3.839
Na Ti O F
1 1 1 2
Direct
0.000 0.000 0.000 Na
0.500 0.500 0.500 Ti
0.500 0.500 0.000 O
0.000 0.500 0.500 F
0.500 0.000 0.500 F
```

SG: No. 123
Uncorrected formation energy (eV/f.u.): -13.98
V (Å³ per cell): 65
Distance to the lowest polymorph of the same formula (eV/atom): 0.0000

3.
Density functional theory data (GGA-PBE) for SeN after structural relaxation.

Cell and atoms, written as POSCAR:
```
SeN
1.0
2.836 0.000 0.000
0.000 15.025 0.000
0.000 0.000 6.392
Se N
6 6
Direct
0.250 0.099 0.155 Se
0.250 0.401 0.155 Se
0.250 0.750 0.511 Se
0.750 0.250 0.489 Se
0.750 0.599 0.845 Se
0.750 0.901 0.845 Se
0.250 0.250 0.282 N
0.250 0.603 0.026 N
0.250 0.897 0.026 N
0.750 0.103 0.974 N
0.750 0.397 0.974 N
0.750 0.750 0.718 N
```

SG: No. 59
Uncorrected formation energy (eV/f.u.): 2.19
V (Å³ per cell): 272

4.
Density functional theory data (GGA-PBE) for Y2ClF after structural relaxation.

Cell and atoms, written as POSCAR:
```
Y2ClF
1.0
6.744 0.000 0.000
0.000 6.744 0.000
0.000 0.000 6.744
Y Cl F
8 4 4
Direct
0.250 0.250 0.250 Y
0.250 0.250 0.750 Y
0.250 0.750 0.250 Y
0.250 0.750 0.750 Y
0.750 0.250 0.250 Y
0.750 0.250 0.750 Y
0.750 0.750 0.250 Y
0.750 0.750 0.750 Y
0.000 0.000 0.000 Cl
0.000 0.500 0.500 Cl
0.500 0.000 0.500 Cl
0.500 0.500 0.000 Cl
0.000 0.000 0.500 F
0.000 0.500 0.000 F
0.500 0.000 0.000 F
0.500 0.500 0.500 F
```

SG: No. 225
Uncorrected formation energy (eV/f.u.): -4.61
V (Å³ per cell): 307
Distance to the lowest polymorph of the same formula (eV/atom): 0.4363

5.
Density functional theory data (GGA-PBE) for Sr3NdCd4 after structural relaxation.

Cell and atoms, written as POSCAR:
```
Sr3NdCd4
1.0
3.984 0.000 0.000
0.000 3.984 0.000
0.000 0.000 16.188
Sr Nd Cd
3 1 4
Direct
0.000 0.000 0.000 Sr
0.000 0.000 0.257 Sr
0.000 0.000 0.743 Sr
0.000 0.000 0.500 Nd
0.500 0.500 0.129 Cd
0.500 0.500 0.389 Cd
0.500 0.500 0.611 Cd
0.500 0.500 0.871 Cd
```

SG: No. 123
V (Å³ per cell): 257
ΔE_f (meV/atom): -325

6.
Density functional theory data (GGA-PBE) for Mg5Si6 after structural relaxation.

Cell and atoms, written as POSCAR:
```
Mg5Si6
1.0
6.917 0.000 0.000
0.000 4.072 0.000
-0.626 0.000 14.473
Mg Si
10 12
Direct
0.000 0.000 0.000 Mg
0.161 0.500 0.144 Mg
0.178 0.500 0.442 Mg
0.201 0.500 0.692 Mg
0.316 0.500 0.924 Mg
0.500 0.000 0.500 Mg
0.684 0.500 0.076 Mg
0.799 0.500 0.308 Mg
0.822 0.500 0.558 Mg
0.839 0.500 0.856 Mg
0.115 0.000 0.823 Si
0.120 0.000 0.565 Si
0.123 0.000 0.304 Si
0.384 0.000 0.060 Si
0.401 0.500 0.296 Si
0.463 0.000 0.784 Si
0.537 0.000 0.216 Si
0.599 0.500 0.704 Si
0.616 0.000 0.940 Si
0.877 0.000 0.696 Si
0.880 0.000 0.435 Si
0.885 0.000 0.177 Si
```

SG: No. 10
Uncorrected formation energy (eV/f.u.): 0.86
V (Å³ per cell): 408
Distance to the lowest polymorph of the same formula (eV/atom): 0.0532

7.
Density functional theory data (GGA-PBE) for Er12NiAu6 after structural relaxation.

Cell and atoms, written as POSCAR:
```
Er12NiAu6
1.0
6.252 3.609 3.979
-6.252 3.609 3.979
0.000 -7.219 3.979
Er Ni Au
12 1 6
Direct
0.036 0.935 0.686 Er
0.065 0.314 0.964 Er
0.182 0.579 0.428 Er
0.314 0.964 0.065 Er
0.421 0.572 0.818 Er
0.428 0.182 0.579 Er
0.572 0.818 0.421 Er
0.579 0.428 0.182 Er
0.686 0.036 0.935 Er
0.818 0.421 0.572 Er
0.935 0.686 0.036 Er
0.964 0.065 0.314 Er
0.000 0.000 0.000 Ni
0.132 0.305 0.625 Au
0.305 0.625 0.132 Au
0.375 0.868 0.695 Au
0.625 0.132 0.305 Au
0.695 0.375 0.868 Au
0.868 0.695 0.375 Au
```

SG: No. 148
V (Å³ per cell): 539
ΔE_f (meV/atom): -473

8.
Density functional theory data (GGA-PBE) for Rb3HoEr2Se6 after structural relaxation.

Cell and atoms, written as POSCAR:
```
Rb3HoEr2Se6
1.0
3.650 -6.322 0.000
3.650 6.322 0.000
-2.434 0.000 7.988
Rb Ho Er Se
3 1 2 6
Direct
0.000 0.000 0.000 Rb
0.333 0.667 0.000 Rb
0.667 0.333 0.000 Rb
0.500 0.500 0.500 Ho
0.167 0.833 0.500 Er
0.833 0.167 0.500 Er
0.101 0.435 0.306 Se
0.230 0.230 0.694 Se
0.435 0.101 0.306 Se
0.565 0.899 0.694 Se
0.770 0.770 0.306 Se
0.899 0.565 0.694 Se
```

SG: No. 12
Uncorrected formation energy (eV/f.u.): -20.79
V (Å³ per cell): 369